No. 1
The following is a DFT calculation (PBE) of AlReP2O after structural relaxation.

Computed properties:
- space group = P4/mmm, No. 123
- energy relative to the lowest polymorph listed for this composition (meV/atom) = 399

abc: 4.792 4.792 3.282
angles: 90.00 90.00 90.00
Last column: magnetic moment on the atom in μB.
Fractional positions:
O: 0.000 0.000 0.500  -0.02
P: 0.000 0.500 0.000  -0.09
P: 0.500 0.000 0.000  -0.09
Al: 0.000 0.000 0.000  0.01
Re: 0.500 0.500 0.500  1.37

No. 2
The following is a DFT calculation (PBE) of AlReP2O after structural relaxation.

Computed properties:
- space group = P4/mmm, No. 123
- energy relative to the lowest polymorph listed for this composition (meV/atom) = 0

abc: 4.788 4.788 3.715
angles: 90.00 90.00 90.00
Fractional positions:
P: 0.500 0.000 0.000
P: 0.000 0.500 0.000
O: 0.000 0.000 0.500
Al: 0.500 0.500 0.500
Re: 0.000 0.000 0.000

No. 3
The following is a DFT calculation (PBE) of AlP2SO after structural relaxation.

Computed properties:
- space group = P4/mmm, No. 123
- energy relative to the lowest polymorph listed for this composition (meV/atom) = 359

abc: 4.669 4.669 3.406
angles: 90.00 90.00 90.00
Fractional positions:
Al: 0.500 0.500 0.500
O: 0.000 0.000 0.500
P: 0.500 0.000 0.000
P: 0.000 0.500 0.000
S: 0.000 0.000 0.000

No. 4
The following is a DFT calculation (PBE) of AlP2SO after structural relaxation.

Computed properties:
- space group = P4/mmm, No. 123
- energy relative to the lowest polymorph listed for this composition (meV/atom) = 479

abc: 4.002 4.002 4.567
angles: 90.00 90.00 90.00
Fractional positions:
O: 0.000 0.000 0.000
Al: 0.500 0.500 0.500
S: 0.000 0.000 0.500
P: 0.000 0.500 0.000
P: 0.500 0.000 0.000

No. 5
The following is a DFT calculation (PBE) of AlPSO2 after structural relaxation.

Computed properties:
- space group = P4/mmm, No. 123

abc: 3.627 3.627 4.686
angles: 90.00 90.00 90.00
Fractional positions:
O: 0.000 0.500 0.000
O: 0.500 0.000 0.000
P: 0.000 0.000 0.500
Al: 0.500 0.500 0.500
S: 0.000 0.000 0.000

No. 6
The following is a DFT calculation (PBE) of AlP2SO after structural relaxation.

Computed properties:
- space group = P4/mmm, No. 123
- energy relative to the lowest polymorph listed for this composition (meV/atom) = 0

abc: 4.856 4.856 3.398
angles: 90.00 90.00 90.00
Fractional positions:
O: 0.000 0.000 0.500
S: 0.500 0.500 0.500
P: 0.500 0.000 0.000
P: 0.000 0.500 0.000
Al: 0.000 0.000 0.000

No. 7
The following is a DFT calculation (PBE) of AlPSO2 after structural relaxation.

Computed properties:
- space group = P4/mmm, No. 123

abc: 3.467 3.467 7.020
angles: 90.00 90.00 90.00
Fractional positions:
S: 0.500 0.500 0.500
Al: 0.000 0.000 0.000
O: 0.000 0.500 0.000
O: 0.500 0.000 0.000
P: 0.000 0.000 0.500

No. 8
The following is a DFT calculation (PBE) of AlP2SO after structural relaxation.

Computed properties:
- space group = P4/mmm, No. 123
- energy relative to the lowest polymorph listed for this composition (meV/atom) = 1037

abc: 4.637 4.637 4.380
angles: 90.00 90.00 90.00
Fractional positions:
P: 0.500 0.000 0.000
P: 0.000 0.500 0.000
O: 0.500 0.500 0.500
S: 0.000 0.000 0.500
Al: 0.000 0.000 0.000

no.,total magnetization (μB per formula unit),E_form (uncorrected) (meV per atom)
1,1.2,335
2,0.0,-65
3,0.0,371
4,0.0,491
5,0.0,-38
6,0.0,12
7,0.0,-787
8,0.1,1049